Compound: NdSm3Sc2Te6
Source: Alexandria
Functional: GGA-PBE
Structure: relaxed

Output
**Energy relative to the elements, uncorrected**: -1.283 eV/atom

Lattice parameters (Å, degrees): 4.3399 8.7793 9.7596 102.85 102.85 90.00
Element x y z (fractional)
Te: 0.6727 0.5724 0.3454
Te: 0.3273 0.4276 0.6546
Nd: 0.5000 0.0000 0.0000
Te: 0.0090 0.2575 0.0180
Sc: 0.1645 0.3300 0.3290
Sm: 0.5000 0.5000 0.0000
Sm: 0.1577 0.8306 0.3154
Sc: 0.8355 0.6700 0.6710
Te: 0.3279 0.8999 0.6558
Te: 0.6721 0.1001 0.3442
Sm: 0.8423 0.1694 0.6846
Te: 0.9910 0.7425 0.9820

Compound: Nd2Sm3ScTe6
Source: Alexandria
Functional: GGA-PBE
Structure: relaxed

Output
**Energy relative to the elements, uncorrected**: -1.340 eV/atom

Lattice parameters (Å, degrees): 4.3972 8.8752 9.8742 102.33 102.87 90.00
Element x y z (fractional)
Sm: 0.8242 0.1624 0.6485
Te: 0.0036 0.7659 0.0072
Nd: 0.8307 0.6653 0.6615
Sm: 0.5000 0.5000 0.0000
Nd: 0.1693 0.3347 0.3385
Te: 0.6567 0.0750 0.3133
Sm: 0.1758 0.8376 0.3515
Te: 0.3360 0.4143 0.6720
Te: 0.9964 0.2341 0.9928
Te: 0.3433 0.9250 0.6867
Sc: 0.5000 0.0000 0.0000
Te: 0.6640 0.5857 0.3280

Compound: Nd4Sm3ScTe8
Source: Alexandria
Functional: GGA-PBE
Structure: relaxed

Output
**Energy relative to the elements, uncorrected**: -1.354 eV/atom

Lattice parameters (Å, degrees): 8.8655 8.9063 8.8630 119.83 120.01 90.00
Element x y z (fractional)
Sm: 0.5000 0.5000 0.0000
Te: 0.7591 0.2620 0.5183
Nd: 0.0000 0.0000 0.0000
Nd: 0.5000 0.0000 0.5000
Te: 0.7562 0.7381 0.9972
Te: 0.2438 0.2619 0.0028
Te: 0.2409 0.7380 0.4817
Te: 0.7486 0.7456 0.4972
Te: 0.2410 0.7381 0.9972
Sm: 0.5000 0.5000 0.5000
Nd: 0.5000 0.0000 0.0000
Te: 0.7590 0.2619 0.0028
Nd: 0.0000 0.0000 0.5000
Te: 0.2514 0.2544 0.5028
Sm: 0.0000 0.5000 0.5000
Sc: 0.0000 0.5000 0.0000

Compound: NdSmThSc
Source: Alexandria
Functional: GGA-PBE
Structure: relaxed

Output
**Excess energy over the best structure of this formula in the dataset**: 0.0 kJ per mole of atoms

Lattice parameters (Å, degrees): 3.5645 3.5643 11.5599 90.01 98.87 119.99
Element x y z (fractional)
Sc: 0.1310 0.9637 0.1102
Th: 0.3094 0.5525 0.8774
Nd: 0.9611 0.3788 0.3547
Sm: 0.4764 0.1358 0.6274

Compound: NdSmThSc
Source: Alexandria
Functional: GGA-PBE
Structure: relaxed

Output
**Excess energy over the best structure of this formula in the dataset**: 9.5 kJ per mole of atoms

Lattice parameters (Å, degrees): 5.6165 5.6165 5.6165 60.00 60.00 60.00
Element x y z (fractional)
Th: 0.7500 0.7500 0.7500
Sm: 0.5000 0.5000 0.5000
Nd: 0.2500 0.2500 0.2500
Sc: 0.0000 0.0000 0.0000

Compound: NdSmScTl
Source: Alexandria
Functional: GGA-PBE
Structure: relaxed

Output
**Excess energy over the best structure of this formula in the dataset**: 6.4 kJ per mole of atoms

Lattice parameters (Å, degrees): 5.4765 5.4765 5.4765 60.00 60.00 60.00
Element x y z (fractional)
Sm: 0.2500 0.2500 0.2500
Tl: 0.5000 0.5000 0.5000
Nd: 0.7500 0.7500 0.7500
Sc: 0.0000 0.0000 0.0000

Compound: NdSmScTl
Source: Alexandria
Functional: GGA-PBE
Structure: relaxed

Output
**Excess energy over the best structure of this formula in the dataset**: 0.0 kJ per mole of atoms

Lattice parameters (Å, degrees): 4.7841 4.7841 9.8369 90.00 90.00 90.00
Element x y z (fractional)
Sc: 0.0000 0.0000 0.5000
Tl: 0.5000 0.0000 0.7221
Sc: 0.5000 0.5000 0.5000
Tl: 0.0000 0.5000 0.2779
Sm: 0.5000 0.0000 0.2587
Nd: 0.0000 0.0000 0.0000
Nd: 0.5000 0.5000 0.0000
Sm: 0.0000 0.5000 0.7413

Compound: NdSm2ScTl2
Source: Alexandria
Functional: GGA-PBE
Structure: relaxed

Lattice parameters (Å, degrees): 5.0429 7.0279 9.9686 90.00 90.00 90.00
Element x y z (fractional)
Tl: 0.5000 0.2340 0.3799
Sm: 0.5000 0.0540 0.0507
Sm: 0.0000 0.3431 0.1842
Sm: 0.0000 0.8431 0.8158
Sc: 0.5000 0.6656 0.3064
Nd: 0.0000 0.9570 0.4520
Sm: 0.5000 0.5540 0.9493
Tl: 0.0000 0.7919 0.1429
Tl: 0.5000 0.7340 0.6201
Tl: 0.0000 0.2919 0.8571
Nd: 0.0000 0.4570 0.5480
Sc: 0.5000 0.1656 0.6936

Compound: NdSm3Tm6Sc2
Source: Alexandria
Functional: GGA-PBE
Structure: relaxed

Lattice parameters (Å, degrees): 6.0652 6.0652 11.5910 94.99 94.99 119.98
Element x y z (fractional)
Tm: 0.2540 0.2540 0.7554
Tm: 0.9178 0.5819 0.7555
Tm: 0.5819 0.9178 0.7555
Nd: 0.0000 0.0000 0.0000
Tm: 0.0822 0.4181 0.2445
Sm: 0.1672 0.8328 0.5000
Sm: 0.5000 0.5000 0.5000
Sc: 0.6668 0.3332 0.0000
Sm: 0.8328 0.1672 0.5000
Sc: 0.3332 0.6668 0.0000
Tm: 0.7460 0.7460 0.2446
Tm: 0.4181 0.0822 0.2445

Compound: Nd6SmTmSc2
Source: Alexandria
Functional: GGA-PBE
Structure: relaxed

Lattice parameters (Å, degrees): 9.5723 8.7972 8.7972 117.30 94.15 94.15
Element x y z (fractional)
Nd: 0.3830 0.5080 0.3001
Sc: 0.5503 0.2000 0.2969
Nd: 0.6836 0.0077 0.5585
Nd: 0.8164 0.4415 0.9923
Nd: 0.4469 0.2380 0.8905
Nd: 0.5531 0.7620 0.1095
Sc: 0.4497 0.8000 0.7031
Nd: 0.3164 0.9923 0.4415
Sm: 0.2500 0.9702 0.0298
Nd: 0.8830 0.3001 0.5080
Nd: 0.1836 0.5585 0.0077
Nd: 0.1170 0.6999 0.4920
Tm: 0.2500 0.4095 0.5905
Sc: 0.0503 0.2969 0.2000
Sm: 0.7500 0.0298 0.9702
Nd: 0.9469 0.8905 0.2380
Nd: 0.0531 0.1095 0.7620
Sc: 0.9497 0.7031 0.8000
Tm: 0.7500 0.5905 0.4095
Nd: 0.6170 0.4920 0.6999

Compound: NdSm2TmSc4
Source: Alexandria
Functional: GGA-PBE
Structure: relaxed

Lattice parameters (Å, degrees): 9.1288 9.1288 11.3545 128.45 128.45 88.23
Element x y z (fractional)
Sc: 0.7539 0.2457 0.9998
Sm: 0.0000 0.0000 0.5000
Sm: 0.5000 0.0000 0.0000
Tm: 0.5000 0.5000 0.5000
Sc: 0.2461 0.7543 0.0002
Sc: 0.2492 0.2497 0.4959
Sc: 0.2543 0.7461 0.5002
Sc: 0.7508 0.7503 0.5041
Sm: 0.5000 0.0000 0.5000
Nd: 0.0000 0.5000 0.5000
Sc: 0.7497 0.7492 0.9959
Sc: 0.2503 0.2508 0.0041
Nd: 0.0000 0.5000 0.0000
Sm: 0.5000 0.5000 0.0000
Sc: 0.7457 0.2539 0.4998
Tm: 0.0000 0.0000 0.0000

Compound: NdSm2Tm5Sc
Source: Alexandria
Functional: GGA-PBE
Structure: relaxed

Lattice parameters (Å, degrees): 5.5463 10.1774 10.3715 90.00 90.00 105.81
Element x y z (fractional)
Tm: 0.3766 0.7533 0.0190
Tm: 0.2976 0.5952 0.7053
Nd: 0.5861 0.1721 0.9561
Tm: 0.7024 0.4048 0.2053
Sm: 0.1117 0.2234 0.3148
Sm: 0.8883 0.7766 0.8148
Tm: 0.4813 0.9626 0.7382
Tm: 0.5187 0.0374 0.2382
Tm: 0.2770 0.5541 0.3226
Sc: 0.8024 0.6049 0.5141
Tm: 0.6234 0.2467 0.5190
Nd: 0.4139 0.8279 0.4561
Sm: 0.8855 0.7710 0.2331
Sm: 0.1145 0.2290 0.7331
Sc: 0.1976 0.3951 0.0141
Tm: 0.9820 0.9640 0.5209
Tm: 0.0180 0.0360 0.0209
Tm: 0.7230 0.4459 0.8226

Compound: NdSm5Tm2Sc
Source: Alexandria
Functional: GGA-PBE
Structure: relaxed

Lattice parameters (Å, degrees): 5.6049 10.4409 10.4403 90.00 90.00 105.57
Element x y z (fractional)
Sm: 0.7009 0.4018 0.2075
Sm: 0.9828 0.9656 0.5160
Nd: 0.4098 0.8196 0.4554
Nd: 0.5902 0.1804 0.9554
Sc: 0.1946 0.3893 0.0152
Sm: 0.0172 0.0344 0.0160
Tm: 0.1122 0.2245 0.3105
Sm: 0.3759 0.7519 0.0197
Sm: 0.6241 0.2481 0.5197
Sm: 0.4834 0.9667 0.7411
Sc: 0.8054 0.6107 0.5152
Tm: 0.8844 0.7687 0.2366
Sm: 0.5166 0.0333 0.2411
Sm: 0.2991 0.5982 0.7075
Sm: 0.2760 0.5520 0.3219
Sm: 0.7240 0.4480 0.8219
Tm: 0.8878 0.7755 0.8105
Tm: 0.1156 0.2313 0.7366

Compound: NdSm2Tm2Sc2
Source: Alexandria
Functional: GGA-PBE
Structure: relaxed

Lattice parameters (Å, degrees): 3.3873 8.8083 8.3104 116.55 90.00 101.09
Element x y z (fractional)
Sc: 0.6536 0.3071 0.3969
Tm: 0.7867 0.5734 0.2082
Sm: 0.4278 0.8556 0.0848
Tm: 0.2133 0.4266 0.7918
Sc: 0.3464 0.6929 0.6031
Nd: 0.0000 0.0000 0.5000
Sm: 0.5722 0.1444 0.9152

Compound: NdSm3TmSc
Source: Alexandria
Functional: GGA-PBE
Structure: relaxed

Lattice parameters (Å, degrees): 4.9971 7.9345 10.1017 90.00 90.00 108.35
Element x y z (fractional)
Sm: 0.8311 0.6622 0.2500
Sm: 0.1689 0.3378 0.7500
Tm: 0.0000 0.0000 0.0000
Sm: 0.3335 0.6670 0.5015
Sc: 0.1672 0.3343 0.2500
Sc: 0.8328 0.6657 0.7500
Nd: 0.4961 0.9921 0.7500
Sm: 0.3335 0.6670 0.9985
Tm: 0.0000 0.0000 0.5000
Nd: 0.5039 0.0079 0.2500
Sm: 0.6665 0.3330 0.0015
Sm: 0.6665 0.3330 0.4985

Compound: Nd6SmTm2Sc
Source: Alexandria
Functional: GGA-PBE
Structure: relaxed

Lattice parameters (Å, degrees): 9.4138 8.9230 8.9230 116.91 93.16 93.16
Element x y z (fractional)
Nd: 0.1932 0.5551 0.9895
Nd: 0.6122 0.4824 0.7078
Sc: 0.7500 0.5796 0.4204
Tm: 0.9495 0.6969 0.7932
Nd: 0.1122 0.7078 0.4824
Nd: 0.0523 0.1183 0.7676
Tm: 0.0505 0.3031 0.2068
Nd: 0.4477 0.2324 0.8817
Nd: 0.6932 0.9895 0.5551
Nd: 0.9477 0.8817 0.2324
Nd: 0.3878 0.5176 0.2922
Sm: 0.2500 0.9716 0.0284
Tm: 0.5505 0.2068 0.3031
Tm: 0.4495 0.7932 0.6969
Sm: 0.7500 0.0284 0.9716
Nd: 0.5523 0.7676 0.1183
Sc: 0.2500 0.4204 0.5796
Nd: 0.8878 0.2922 0.5176
Nd: 0.3068 0.0105 0.4449
Nd: 0.8068 0.4449 0.0105

Compound: Nd2Sm3Tm6Sc
Source: Alexandria
Functional: GGA-PBE
Structure: relaxed

Lattice parameters (Å, degrees): 6.1253 6.1253 11.6814 95.01 95.01 119.99
Element x y z (fractional)
Nd: 0.3337 0.6663 0.0000
Sm: 0.8333 0.1667 0.5000
Tm: 0.9175 0.5870 0.7517
Tm: 0.5870 0.9175 0.7517
Nd: 0.6663 0.3337 0.0000
Sc: 0.0000 0.0000 0.0000
Tm: 0.4130 0.0825 0.2483
Sm: 0.1667 0.8333 0.5000
Tm: 0.0825 0.4130 0.2483
Sm: 0.5000 0.5000 0.5000
Tm: 0.7520 0.7520 0.2488
Tm: 0.2480 0.2480 0.7512

Compound: Nd5Sm2TmSc
Source: Alexandria
Functional: GGA-PBE
Structure: relaxed

Lattice parameters (Å, degrees): 8.4071 8.4071 10.4468 113.73 113.73 90.00
Element x y z (fractional)
Nd: 0.0722 0.5722 0.7090
Nd: 0.3632 0.8632 0.2910
Sm: 0.1255 0.3745 0.0000
Nd: 0.9278 0.4278 0.2910
Sc: 0.2500 0.7500 0.5000
Sm: 0.8745 0.6255 0.0000
Sm: 0.6255 0.1255 0.0000
Sc: 0.7500 0.2500 0.5000
Tm: 0.2500 0.2500 0.5000
Nd: 0.6368 0.1368 0.7090
Nd: 0.8632 0.9278 0.2910
Tm: 0.7500 0.7500 0.5000
Sm: 0.3745 0.8745 0.0000
Nd: 0.5722 0.6368 0.7090
Nd: 0.4278 0.3632 0.2910
Nd: 0.0000 0.0000 0.0000
Nd: 0.1368 0.0722 0.7090
Nd: 0.5000 0.5000 0.0000

Compound: NdSmTm2Sc
Source: Alexandria
Functional: GGA-PBE
Structure: relaxed

Lattice parameters (Å, degrees): 3.4423 11.0424 8.7584 90.00 90.00 98.97
Element x y z (fractional)
Sm: 0.1152 0.2304 0.2500
Sc: 0.7431 0.4861 0.2500
Tm: 0.6516 0.3033 0.9372
Tm: 0.3484 0.6967 0.0628
Tm: 0.3484 0.6967 0.4372
Tm: 0.6516 0.3033 0.5628
Nd: 0.0000 0.0000 0.5000
Nd: 0.0000 0.0000 0.0000
Sm: 0.8848 0.7696 0.7500
Sc: 0.2569 0.5139 0.7500

Compound: Nd2Sm5YSc
Source: Alexandria
Functional: GGA-PBE
Structure: relaxed

Lattice parameters (Å, degrees): 8.5139 8.5139 10.2224 114.61 114.61 90.00
Element x y z (fractional)
Y: 0.2500 0.2500 0.5000
Sm: 0.8590 0.9299 0.2890
Sc: 0.7500 0.2500 0.5000
Sm: 0.1410 0.0701 0.7110
Sc: 0.2500 0.7500 0.5000
Nd: 0.6227 0.1227 0.0000
Sm: 0.0000 0.0000 0.0000
Sm: 0.9299 0.4299 0.2890
Sm: 0.4299 0.3590 0.2890
Sm: 0.0701 0.5701 0.7110
Nd: 0.3773 0.8773 0.0000
Sm: 0.3590 0.8590 0.2890
Y: 0.7500 0.7500 0.5000
Sm: 0.5701 0.6410 0.7110
Sm: 0.5000 0.5000 0.0000
Sm: 0.6410 0.1410 0.7110
Nd: 0.8773 0.6227 0.0000
Nd: 0.1227 0.3773 0.0000

Computed DFT total energy (eV per atom) in order:
-5.487, -5.413, -5.397, -5.764, -5.665, -4.625, -4.691, -4.468, -4.828, -4.922, -5.073, -4.600, -4.681, -4.936, -4.918, -4.734, -4.711, -4.611, -4.662, -4.826
Computed volume (Å³/atom) in order:
29.4, 30.5, 31.0, 31.3, 31.3, 29.0, 28.1, 29.4, 30.3, 32.6, 29.5, 31.3, 32.7, 30.9, 31.7, 33.2, 31.1, 33.7, 32.9, 33.3
Computed M_tot (Bohr magnetons per cell) in order:
0.00, 0.00, 0.00, 0.00, 0.00, 1.30, 1.88, 0.00, 0.00, 0.00, 6.33, 0.00, 0.00, 0.00, 0.00, 0.00, 0.00, 0.00, 0.00, 0.00